GdNb2P3, relaxed, DFT PBE; space group = P-3m1, No. 164; E_tot = -7.760 eV/atom
1.0
3.761 0.000 0.000
-1.880 3.257 0.000
0.000 0.000 8.979
Gd Nb P
1 2 3
Direct
0.000 0.000 0.500
0.667 0.333 0.144
0.333 0.667 0.856
0.000 0.000 0.000
0.333 0.667 0.306
0.667 0.333 0.694